No. 1
ZnGa8Ag6: relaxed, PBE.

Values from the calculation:
Raw total energy (eV for the cell shown): -42.28
Space-group type: R-3
Offset from the most stable computed form (eV/f.u.): 0.00
Calculated formation energy (eV per atom): 0.021
Density (g/cm3): 7.6

```
15
Lattice="6.537 0.244 2.673 1.883 6.265 2.673 0.316 0.244 7.055" Properties=species:S:1:pos:R:3 pbc="T T T"
Ag 6.945 4.591 6.843
Ag 3.259 3.937 3.558
Ag 4.359 5.565 8.135
Ag 4.378 1.189 4.267
Ag 1.791 2.162 5.559
Ag 5.477 2.817 8.844
Ga 6.721 5.196 9.541
Ga 6.235 3.095 4.439
Ga 6.093 1.499 6.608
Ga 3.519 1.234 7.365
Ga 2.643 5.254 5.793
Ga 5.217 5.519 5.036
Ga 2.502 3.659 7.963
Ga 2.015 1.558 2.861
Zn 0.000 0.000 0.000
```

No. 2
Ba2SbPb: relaxed, PBE.

Values from the calculation:
Raw total energy (eV for the cell shown): -13.05
Space-group type: P4mm
Offset from the most stable computed form (eV/f.u.): 1.52
Raw formation energy (meV/atom): -344
Density (g/cm3): 5.6

```
4
Lattice="4.299 0.000 0.000 0.000 4.299 0.000 0.000 0.000 9.664" Properties=species:S:1:pos:R:3 pbc="T T T"
Ba 2.150 2.150 3.100
Ba 0.000 0.000 8.904
Pb 0.000 0.000 5.448
Sb 2.150 2.150 6.709
```

No. 3
SrAg2S2: relaxed, PBE.

Values from the calculation:
Raw total energy (eV for the cell shown): -40.18
Space-group type: I4_1/amd
Raw formation energy (meV/atom): -890
Density (g/cm3): 5.0

```
10
Lattice="5.578 0.000 -2.605 -1.217 5.443 -2.605 0.230 0.287 7.766" Properties=species:S:1:pos:R:3 pbc="T T T"
S 1.716 5.623 3.674
S 3.472 4.334 0.161
S -0.522 2.829 -1.117
S 1.119 1.397 2.396
Ag 3.202 2.257 3.220
Ag 2.479 4.835 -1.966
Ag 3.087 2.113 -0.663
Ag 0.414 2.257 4.522
Sr 0.000 0.000 0.000
Sr 0.597 4.226 1.278
```

no.,DOS(E_F) (states/eV/f.u.)
1,3.60
2,5.25
3,0.00